1.
Here is a relaxed EuMnAu4 crystal from the Alexandria database. Energies are from PBE.

Values from the calculation:
* energy of formation from the pure elements: -0.21 eV/atom
* Fermi-level density of states: 6.014 states/eV/cell

a b c (Å): 5.6027 5.6027 5.6027
angles (deg): 60.00 60.00 60.00
Closest atoms and distances in Å follow each position.
Positions (direct):
1 Eu 0.0000 0.0000 0.0000  12 Au 3.29, 4 Mn 3.43
2 Mn 0.7500 0.7500 0.7500  12 Au 3.28, 4 Eu 3.43
3 Au 0.3755 0.3755 0.3755  6 Au 2.79-2.81
4 Au 0.3755 0.3755 0.8735  6 Au 2.79-2.81
5 Au 0.3755 0.8735 0.3755  6 Au 2.79-2.81
6 Au 0.8735 0.3755 0.3755  6 Au 2.79-2.81

2.
Here is a relaxed Eu2AuN crystal from the Alexandria database. Energies are from PBE.

Values from the calculation:
* energy relative to the elements, uncorrected: -0.5900 eV/atom
* relative energy among the computed polymorphs: 227.0 meV per atom
* Fermi-level density of states: 2.747 states/eV/cell

a b c (Å): 3.2654 3.2654 7.3854
angles (deg): 90.00 90.00 90.00
Closest atoms and distances in Å follow each position.
Positions (direct):
1 Eu 0.0000 0.0000 0.1920  4 N 2.71, 1 Eu 2.84
2 Eu 0.0000 0.0000 0.8080  4 N 2.71, 1 Eu 2.84
3 Au 0.5000 0.5000 0.5000  8 Eu 3.24, 4 Au 3.27
4 N 0.5000 0.5000 0.0000  8 Eu 2.71

3.
Here is a relaxed Eu2AuN crystal from the Alexandria database. Energies are from PBE.

Values from the calculation:
* energy relative to the elements, uncorrected: -0.8171 eV/atom
* relative energy among the computed polymorphs: 0.0 meV per atom
* Fermi-level density of states: 10.132 states/eV/cell

a b c (Å): 7.7427 7.7427 7.7427
angles (deg): 27.86 27.86 27.86
Closest atoms and distances in Å follow each position.
Positions (direct):
1 Eu 0.2282 0.2282 0.2282  3 N 2.55
2 Eu 0.7718 0.7718 0.7718  3 N 2.55
3 Au 0.0000 0.0000 0.0000  6 Eu 3.18
4 N 0.5000 0.5000 0.5000  6 Eu 2.55

4.
Here is a relaxed NaEuAu crystal from the Alexandria database. Energies are from PBE.

Values from the calculation:
* relative energy among the computed polymorphs: 41.3 meV per atom
* energy of formation from the pure elements: -0.37 eV/atom
* Fermi-level density of states: 11.063 states/eV/cell

a b c (Å): 6.3734 6.3734 6.3734
angles (deg): 144.82 144.82 50.60
Closest atoms and distances in Å follow each position.
Positions (direct):
1 Na 0.0000 0.0000 0.0000  4 Au 3.18, 1 Eu 3.25
2 Eu 0.2820 0.2820 0.0000  4 Au 3.16, 1 Na 3.25
3 Au 0.6431 0.6431 0.0000  4 Eu 3.16, 4 Na 3.18

5.
Here is a relaxed NaEuAu crystal from the Alexandria database. Energies are from PBE.

Values from the calculation:
* relative energy among the computed polymorphs: 0.0 meV per atom
* energy of formation from the pure elements: -0.41 eV/atom
* Fermi-level density of states: 12.976 states/eV/cell

a b c (Å): 5.1089 5.1089 5.1089
angles (deg): 60.00 60.00 60.00
Closest atoms and distances in Å follow each position.
Positions (direct):
1 Na 0.0000 0.0000 0.0000  4 Au 3.13
2 Eu 0.5000 0.5000 0.5000  4 Au 3.13
3 Au 0.7500 0.7500 0.7500  4 Na 3.13, 4 Eu 3.13

6.
Here is a relaxed Na2EuAu crystal from the Alexandria database. Energies are from PBE.

Values from the calculation:
* energy of formation from the pure elements: 0.04 eV/atom
* Fermi-level density of states: 1.799 states/eV/cell

a b c (Å): 11.6164 11.6164 11.6164
angles (deg): 18.58 18.58 18.58
Closest atoms and distances in Å follow each position.
Positions (direct):
1 Na 0.1084 0.1084 0.1084  3 Au 2.94
2 Na 0.8916 0.8916 0.8916  3 Au 2.94
3 Eu 0.0000 0.0000 0.0000  2 Na 3.71, 6 Eu 3.75
4 Au 0.5000 0.5000 0.5000  6 Na 2.94

7.
Here is a relaxed NaEuAu crystal from the Alexandria database. Energies are from PBE.

Values from the calculation:
* relative energy among the computed polymorphs: 78.2 meV per atom
* energy of formation from the pure elements: -0.33 eV/atom
* Fermi-level density of states: 10.690 states/eV/cell

a b c (Å): 4.9585 4.9585 3.9351
angles (deg): 90.00 90.00 120.00
Closest atoms and distances in Å follow each position.
Positions (direct):
1 Na 0.0000 0.0000 0.0000  3 Au 2.86
2 Eu 0.6667 0.3333 0.4970  6 Au 3.46-3.49, 6 Na 3.47-3.48
3 Au 0.3333 0.6667 0.9895  3 Na 2.86

8.
Here is a relaxed NaEuAu4 crystal from the Alexandria database. Energies are from PBE.

Values from the calculation:
* energy of formation from the pure elements: -0.50 eV/atom
* Fermi-level density of states: 7.807 states/eV/cell

a b c (Å): 5.6901 5.6901 5.6901
angles (deg): 60.00 60.00 60.00
Closest atoms and distances in Å follow each position.
Positions (direct):
1 Na 0.0000 0.0000 0.0000  12 Au 3.34, 4 Eu 3.48
2 Eu 0.2500 0.2500 0.2500  12 Au 3.34, 4 Na 3.48
3 Au 0.1237 0.6254 0.6254  6 Au 2.84-2.85
4 Au 0.6254 0.1237 0.6254  6 Au 2.84-2.85
5 Au 0.6254 0.6254 0.1237  6 Au 2.84-2.85
6 Au 0.6254 0.6254 0.6254  6 Au 2.84-2.85

9.
Here is a relaxed NaEuPAu crystal from the Alexandria database. Energies are from PBE.

Values from the calculation:
* energy of formation from the pure elements: -0.58 eV/atom
* Fermi-level density of states: 11.745 states/eV/cell

a b c (Å): 5.0287 5.0287 5.0287
angles (deg): 60.00 60.00 60.00
Closest atoms and distances in Å follow each position.
Positions (direct):
1 Na 0.0000 0.0000 0.0000  4 P 3.08, 4 Au 3.08
2 Eu 0.5000 0.5000 0.5000  4 Au 3.08, 4 P 3.08
3 P 0.7500 0.7500 0.7500  4 Eu 3.08, 4 Na 3.08
4 Au 0.2500 0.2500 0.2500  4 Eu 3.08, 4 Na 3.08

10.
Here is a relaxed NaEuPbAu crystal from the Alexandria database. Energies are from PBE.

Values from the calculation:
* energy of formation from the pure elements: -0.41 eV/atom
* Fermi-level density of states: 12.535 states/eV/cell

a b c (Å): 5.2195 5.2195 5.2195
angles (deg): 60.00 60.00 60.00
Closest atoms and distances in Å follow each position.
Positions (direct):
1 Na 0.0000 0.0000 0.0000  4 Eu 3.20, 4 Pb 3.20
2 Eu 0.7500 0.7500 0.7500  4 Na 3.20, 4 Au 3.20
3 Pb 0.2500 0.2500 0.2500  4 Na 3.20, 4 Au 3.20
4 Au 0.5000 0.5000 0.5000  4 Pb 3.20, 4 Eu 3.20

11.
Here is a relaxed NaEuPdAu crystal from the Alexandria database. Energies are from PBE.

Values from the calculation:
* energy of formation from the pure elements: -0.45 eV/atom
* Fermi-level density of states: 14.949 states/eV/cell

a b c (Å): 5.0670 5.0670 5.0670
angles (deg): 60.00 60.00 60.00
Closest atoms and distances in Å follow each position.
Positions (direct):
1 Na 0.0000 0.0000 0.0000  4 Au 3.10, 4 Pd 3.10
2 Eu 0.5000 0.5000 0.5000  4 Au 3.10, 4 Pd 3.10
3 Pd 0.2500 0.2500 0.2500  4 Na 3.10, 4 Eu 3.10
4 Au 0.7500 0.7500 0.7500  4 Na 3.10, 4 Eu 3.10

12.
Here is a relaxed NaEuAuSe crystal from the Alexandria database. Energies are from PBE.

Values from the calculation:
* energy relative to the elements, uncorrected: -1.0185 eV/atom

a b c (Å): 5.1838 5.1838 5.1838
angles (deg): 60.00 60.00 60.00
Closest atoms and distances in Å follow each position.
Positions (direct):
1 Na 0.0000 0.0000 0.0000  4 Se 3.17, 4 Au 3.17
2 Eu 0.5000 0.5000 0.5000  4 Se 3.17, 4 Au 3.17
3 Au 0.2500 0.2500 0.2500  4 Eu 3.17, 4 Na 3.17
4 Se 0.7500 0.7500 0.7500  4 Eu 3.17, 4 Na 3.17

Final energy readings, ordered: -33.83 -34.51 -35.42 -15.99 -16.11 -16.02 -15.88 -27.68 -22.61 -20.21 -21.86 -22.43 eV for the cell shown